An optimized crystal structure of OsO4. Source: OQMD, functional GGA-PBE.

Computed properties:
Its symmetry is No. 13. For the energy, the calculation gives -6.9697 eV per atom. The crystal system is monoclinic.

POSCAR file:
```
OsO4
1.0
-1.213 -2.974 3.560
-2.270 -3.821 -3.964
4.304 -1.103 -1.401
O Os
8 2
Direct
0.780 0.900 0.486
0.748 0.364 0.514
0.252 0.364 0.986
0.220 0.100 0.514
0.748 0.636 0.014
0.252 0.636 0.486
0.220 0.900 0.014
0.780 0.100 0.986
0.000 0.188 0.750
0.000 0.812 0.250
```


An optimized crystal structure of RbAcTm. Source: OQMD, functional GGA-PBE.

Computed properties:
Its symmetry is No. 216. For the energy, the calculation gives -2.1250 eV per atom. The crystal system is cubic.

POSCAR file:
```
RbAcTm
1.0
0.000 4.380 4.380
4.380 0.000 4.380
4.380 4.380 0.000
Tm Rb Ac
1 1 1
Direct
0.000 0.000 0.000
0.750 0.750 0.750
0.250 0.250 0.250
```


An optimized crystal structure of Au. Source: OQMD, functional GGA-PBE.

Computed properties:
Its symmetry is No. 164. As for the offset from the most stable computed form: 68.0 meV/atom. For the energy, the calculation gives -3.1985 eV per atom. The formation enthalpy at 0 K comes out at 0.07 eV/atom. The crystal system is trigonal.

POSCAR file:
```
Au
1.0
-1.159 -2.589 -0.490
1.733 0.396 2.264
-23.090 7.225 16.414
Au
9
Direct
0.333 0.667 0.662
0.667 0.333 0.084
0.333 0.667 0.168
0.000 0.000 0.748
0.333 0.667 0.916
0.667 0.333 0.338
0.000 0.000 0.252
0.667 0.333 0.832
0.000 0.000 0.000
```


An optimized crystal structure of Rb2PtWSe6. Source: OQMD, functional GGA-PBE.

Computed properties:
Its symmetry is No. 12. For the energy, the calculation gives -4.4713 eV per atom. The crystal system is monoclinic.

POSCAR file:
```
Rb2PtWSe6
1.0
2.141 2.502 -6.282
-3.800 -0.127 -5.987
-1.720 4.592 6.295
Se W Pt Rb
6 1 1 2
Direct
0.672 0.217 0.666
0.217 0.672 0.666
0.752 0.752 0.168
0.248 0.248 0.832
0.783 0.328 0.334
0.328 0.783 0.334
0.000 0.000 0.500
0.500 0.500 0.000
0.211 0.211 0.189
0.789 0.789 0.811
```


An optimized crystal structure of YBe2Cu. Source: OQMD, functional GGA-PBE.

Computed properties:
Its symmetry is No. 216. For the energy, the calculation gives -4.2945 eV per atom. The crystal system is cubic.

POSCAR file:
```
YBe2Cu
1.0
0.000 3.098 3.098
3.098 0.000 3.098
3.098 3.098 0.000
Be Cu Y
2 1 1
Direct
0.000 0.000 0.000
0.250 0.250 0.250
0.750 0.750 0.750
0.500 0.500 0.500
```


An optimized crystal structure of Cu2B. Source: OQMD, functional GGA-PBE.

Computed properties:
Its symmetry is No. 227. For the energy, the calculation gives -3.4888 eV per atom. The crystal system is cubic.

POSCAR file:
```
Cu2B
1.0
0.000 3.285 3.285
3.285 0.000 3.285
3.285 3.285 0.000
B Cu
2 4
Direct
0.000 0.000 0.000
0.250 0.250 0.250
0.625 0.125 0.625
0.625 0.625 0.625
0.625 0.625 0.125
0.125 0.625 0.625
```


An optimized crystal structure of GdCuPd. Source: OQMD, functional GGA-PBE.

Computed properties:
Its symmetry is No. 216. For the energy, the calculation gives -4.8976 eV per atom. The formation enthalpy at 0 K comes out at -0.38 eV/atom. The crystal system is cubic.

POSCAR file:
```
GdCuPd
1.0
0.000 3.209 3.209
3.209 0.000 3.209
3.209 3.209 0.000
Pd Cu Gd
1 1 1
Direct
0.250 0.250 0.250
0.500 0.500 0.500
0.000 0.000 0.000
```


An optimized crystal structure of SrNpAl. Source: OQMD, functional GGA-PBE.

Computed properties:
Its symmetry is No. 216. For the energy, the calculation gives -5.3643 eV per atom. The crystal system is cubic.

POSCAR file:
```
SrNpAl
1.0
-4.968 1.076 1.417
-1.930 4.870 -0.638
-3.655 0.927 -3.692
Sr Np Al
1 1 1
Direct
0.750 0.750 0.750
0.250 0.250 0.250
0.000 0.000 0.000
```